VASP calculation (GGA-PBE) on a relaxed structure of Ac4In2Pd.

Cell: 9.447 9.447 9.447 Å, 144.78 144.78 50.66°
Element x y z (fractional)
Ac 0.000 0.500 0.500
Ac 0.184 0.184 0.000
Ac 0.500 0.000 0.500
Ac 0.816 0.816 0.000
In 0.376 0.376 0.000
In 0.624 0.624 0.000
Pd 0.000 0.000 0.000

Computed properties:
Electronic total energy in eV per atom: -4.163
Magnetic moment in μB/atom: 0.000
ΔE_f in kJ/mol of formula units: -197
Energy relative to the lowest polymorph listed for this composition in meV per atom: 150
Space-group type: I4/mmm, No. 139

=====

VASP calculation (GGA-PBE) on a relaxed structure of LaSmThMg.

Cell: 5.651 5.651 5.651 Å, 60.00 60.00 60.00°
Element x y z (fractional)
La 0.000 0.000 0.000
Sm 0.500 0.500 0.500
Th 0.750 0.750 0.750
Mg 0.250 0.250 0.250

Computed properties:
Electronic total energy in eV per atom: -4.526
Magnetic moment in μB/atom: 0.000
ΔE_f in kJ/mol of formula units: 54
Energy relative to the lowest polymorph listed for this composition in meV per atom: 192
Space-group type: F-43m, No. 216

=====

VASP calculation (GGA-PBE) on a relaxed structure of RbLaMgF6.

Cell: 7.514 7.514 7.514 Å, 120.64 115.30 93.61°
Element x y z (fractional)
Rb 0.333 0.083 0.250
Rb 0.667 0.917 0.750
La 0.000 0.500 0.500
La 0.500 0.500 0.000
Mg 0.000 0.000 0.500
Mg 0.000 0.500 0.000
F 0.046 0.344 0.159
F 0.046 0.888 0.702
F 0.072 0.322 0.750
F 0.314 0.112 0.659
F 0.314 0.656 0.202
F 0.372 0.622 0.750
F 0.628 0.378 0.250
F 0.686 0.344 0.798
F 0.686 0.888 0.341
F 0.928 0.678 0.250
F 0.954 0.112 0.298
F 0.954 0.656 0.841

Computed properties:
Electronic total energy in eV per atom: -5.700
Magnetic moment in μB/atom: 0.000
Space-group type: Imma, No. 74
E_form (uncorrected) in kJ/mol of atoms: -349

=====

VASP calculation (GGA-PBE) on a relaxed structure of NaLiGe2.

Cell: 5.887 5.887 5.887 Å, 43.01 43.01 43.01°
Element x y z (fractional)
Na 0.000 0.000 0.000
Li 0.500 0.500 0.500
Ge 0.209 0.209 0.209
Ge 0.791 0.791 0.791

Computed properties:
Electronic total energy in eV per atom: -3.237
Magnetic moment in μB/atom: 0.000
ΔE_f in kJ/mol of formula units: -46
Energy relative to the lowest polymorph listed for this composition in meV per atom: 59
Space-group type: R-3m, No. 166

=====

VASP calculation (GGA-PBE) on a relaxed structure of Pm8TlGe6.

Cell: 10.452 10.452 4.582 Å, 90.00 90.00 120.00°
Element x y z (fractional)
Pm 0.032 0.710 0.252
Pm 0.290 0.322 0.252
Pm 0.322 0.032 0.748
Pm 0.333 0.667 0.749
Pm 0.667 0.333 0.251
Pm 0.678 0.968 0.252
Pm 0.710 0.678 0.748
Pm 0.968 0.290 0.748
Tl 0.000 0.000 0.000
Ge 0.130 0.485 0.247
Ge 0.355 0.870 0.247
Ge 0.485 0.355 0.753
Ge 0.515 0.645 0.247
Ge 0.645 0.130 0.753
Ge 0.870 0.515 0.753

Computed properties:
Electronic total energy in eV per atom: -5.136
Magnetic moment in μB/atom: 0.000
ΔE_f in kJ/mol of formula units: -865
Space-group type: P-3, No. 147

=====

VASP calculation (GGA-PBE) on a relaxed structure of RbAcCd.

Cell: 18.951 4.097 4.097 Å, 60.14 90.00 90.00°
Element x y z (fractional)
Rb 0.160 0.000 0.000
Rb 0.840 0.000 0.000
Ac 0.368 0.344 0.344
Ac 0.632 0.344 0.344
Cd 0.000 0.335 0.335
Cd 0.500 0.010 0.010

Computed properties:
Electronic total energy in eV per atom: -1.872
Magnetic moment in μB/atom: 0.000
ΔE_f in kJ/mol of formula units: 36
Space-group type: Amm2, No. 38

=====

VASP calculation (GGA-PBE) on a relaxed structure of Tl2PtBr.

Cell: 3.558 3.570 7.859 Å, 90.00 90.00 90.00°
Element x y z (fractional)
Tl 0.000 0.000 0.211
Tl 0.000 0.000 0.789
Pt 0.500 0.500 0.000
Br 0.500 0.500 0.500

Computed properties:
Electronic total energy in eV per atom: -3.204
Magnetic moment in μB/atom: 0.000
Energy relative to the lowest polymorph listed for this composition in meV per atom: 139
Space-group type: Pmmm, No. 47
E_form (uncorrected) in kJ/mol of atoms: -9